(1)
## TaBeCr3 (PBE)

Data for crystalline TaBeCr3 at its relaxed geometry.

Cell and atoms, written as extended XYZ:
```
5
Lattice="4.4731 0.0000 0.0000 0.0000 4.4731 0.0000 0.0000 0.0000 4.4731" Properties=species:S:1:pos:R:3 pbc="T T T"
Cr 0.0000 2.2365 0.0000
Cr 2.2365 0.0000 0.0000
Cr 0.0000 0.0000 2.2365
Be 2.2365 2.2365 2.2365
Ta 0.0000 0.0000 0.0000
```

Properties
- crystal system = cubic
- energy relative to the lowest polymorph listed for this composition (eV per atom) = 1.442

---

(2)
## Ta2BeCrW (PBE)

Data for crystalline Ta2BeCrW at its relaxed geometry.

Cell and atoms, written as extended XYZ:
```
5
Lattice="4.8208 0.0000 0.0000 0.0000 4.2211 0.0000 0.0000 0.0000 4.8208" Properties=species:S:1:pos:R:3 pbc="T T T"
W 0.0000 0.0000 0.0000
Ta 2.4104 0.0000 0.0000
Cr 2.4104 2.1105 2.4104
Be 0.0000 2.1105 0.0000
Ta 0.0000 0.0000 2.4104
```

Properties
- crystal system = tetragonal

---

(3)
## TbBe17Cr (PBE)

Data for crystalline TbBe17Cr at its relaxed geometry.

Cell and atoms, written as extended XYZ:
```
19
Lattice="-3.1384 1.2086 4.5569 -4.8628 -2.1729 -1.9255 0.4700 -5.0544 2.5116" Properties=species:S:1:pos:R:3 pbc="T T T"
Cr -2.4869 -1.9875 1.6983
Be -7.7614 -3.4994 3.8901
Be -5.1066 -4.9339 6.0989
Be -4.1732 -1.4188 4.0944
Be -2.3127 -4.6480 3.0398
Be -0.7678 -0.6136 0.5244
Be -2.1151 -0.6097 3.9291
Tb -4.9654 -3.9681 3.3908
Be -3.6104 0.1983 2.6850
Be -6.8358 -5.4630 4.6681
Be -4.3346 -1.2220 -0.0376
Be -1.0830 -4.1883 1.2525
Be -3.3228 -2.9780 -0.6111
Be -5.0623 -3.1623 0.7520
Be -2.5298 -2.8602 4.2950
Be -5.1396 -1.4501 2.1236
Be -3.3737 -4.5150 1.1227
Be -5.9650 -6.6173 2.8719
Be -0.5996 -3.2401 3.0701
```

Properties
- crystal system = trigonal

---

(4)
## BeCrTc4 (PBE)

Data for crystalline BeCrTc4 at its relaxed geometry.

Cell and atoms, written as extended XYZ:
```
6
Lattice="0.0000 3.5634 3.5634 3.5634 0.0000 3.5634 3.5634 3.5634 0.0000" Properties=species:S:1:pos:R:3 pbc="T T T"
Tc 4.4501 4.4501 2.6768
Tc 2.6768 4.4501 4.4501
Cr 0.0000 0.0000 0.0000
Be 5.3452 5.3452 5.3452
Tc 4.4501 2.6768 4.4501
Tc 2.6768 2.6768 2.6768
```

Properties
- crystal system = cubic

---

(5)
## Be9Cr2Tc (PBE)

Data for crystalline Be9Cr2Tc at its relaxed geometry.

Cell and atoms, written as extended XYZ:
```
12
Lattice="4.0511 0.0000 1.2057 1.8462 3.6060 1.2057 0.0618 0.0378 7.2011" Properties=species:S:1:pos:R:3 pbc="T T T"
Be 2.9796 1.8219 4.8062
Tc 0.0000 0.0000 0.0000
Cr 0.9048 0.5533 4.3685
Be 3.4975 2.1386 6.8060
Be 3.9263 2.4009 1.6250
Cr 5.0543 3.0906 5.2439
Be 2.4616 1.5052 2.8064
Be 1.4524 2.1386 6.1973
Be 4.5067 1.5052 3.4151
Be 2.5655 0.3183 6.1973
Be 2.0328 1.2430 7.9875
Be 3.3936 3.3256 3.4151
```

Properties
- crystal system = trigonal

---

(6)
## Be17CrTc (PBE)

Data for crystalline Be17CrTc at its relaxed geometry.

Cell and atoms, written as extended XYZ:
```
19
Lattice="3.3392 3.9909 -1.6497 -3.7860 3.0770 -2.4491 -0.9045 3.4027 4.1716" Properties=species:S:1:pos:R:3 pbc="T T T"
Be 0.2782 7.1156 2.2788
Be -1.8961 1.5415 -1.2265
Cr -0.8920 6.9122 0.0481
Be -0.1378 1.0681 0.0074
Be -2.5099 4.8557 0.8534
Be -0.4530 1.7047 2.0891
Be -2.5333 6.7550 1.9633
Be 1.1665 5.6154 -0.7840
Be 0.9716 5.3023 1.2440
Be 1.6722 1.9992 -0.8261
Be 1.5616 7.2935 0.5183
Be -0.4363 5.1431 -1.9910
Be 0.4246 7.1650 -2.0941
Be -1.7302 6.8886 -2.3359
Be -0.9158 5.3268 2.0723
Be -1.2140 9.4068 0.0655
Be -3.4047 6.6565 -0.0389
Be -2.3296 5.1670 -1.1762
Tc -0.4586 3.5540 0.0247
```

Properties
- crystal system = trigonal

---

(7)
## Be2Cr2Tc (PBE)

Data for crystalline Be2Cr2Tc at its relaxed geometry.

Cell and atoms, written as extended XYZ:
```
10
Lattice="-2.4430 0.9547 -5.4082 -4.6883 -3.4452 1.5097 -1.3947 2.3562 1.0459" Properties=species:S:1:pos:R:3 pbc="T T T"
Cr -6.2172 -1.0257 -1.8727
Cr -4.2462 0.8426 -3.4534
Be -2.0729 -1.1911 -0.0808
Tc 0.0000 0.0000 0.0000
Be -5.0584 -1.2994 -3.8177
Be -5.0483 -2.6670 -0.7235
Cr -2.3087 0.8915 -0.9799
Be -2.0829 0.1765 -3.1750
Tc -3.5656 -1.2452 -1.9493
Cr -4.2797 -0.9769 0.6009
```

Properties
- crystal system = tetragonal

---

(8)
## Be4CrTc (PBE)

Data for crystalline Be4CrTc at its relaxed geometry.

Cell and atoms, written as extended XYZ:
```
6
Lattice="-1.3848 -1.2511 3.8569 0.3263 -4.1108 1.1637 2.8155 -1.1558 3.0159" Properties=species:S:1:pos:R:3 pbc="T T T"
Be 1.7892 -3.4477 3.0958
Cr 0.4393 -1.6294 2.0091
Be 1.0978 -4.0723 5.0213
Tc 0.0000 0.0000 0.0000
Be -0.3078 -3.4953 3.5156
Be 0.9349 -2.0201 4.4404
```

Properties
- crystal system = cubic

---

Number 1: DFT total energy -33.8 eV for the cell shown, ΔH_f (0 K) 10.6 eV per formula unit. Number 2: DFT total energy -40.6 eV for the cell shown, ΔH_f (0 K) 9.4 eV per formula unit. Number 3: DFT total energy -78.7 eV for the cell shown, ΔH_f (0 K) -1.1 eV per formula unit. Number 4: DFT total energy -51.6 eV for the cell shown, ΔH_f (0 K) 3.2 eV per formula unit. Number 5: DFT total energy -65.8 eV for the cell shown, ΔH_f (0 K) -2.7 eV per formula unit. Number 6: DFT total energy -85.6 eV for the cell shown, ΔH_f (0 K) -2.3 eV per formula unit. Number 7: DFT total energy -74.7 eV for the cell shown, ΔH_f (0 K) -0.3 eV per formula unit. Number 8: DFT total energy -36.9 eV for the cell shown, ΔH_f (0 K) -2.1 eV per formula unit.